1.
Here is crystalline Cd2InFeTc at its relaxed geometry from the Alexandria database. Energies are from GGA-PBE.

The structure in CIF format:
```
data_Cd2InFeTc
_chemical_formula_sum 'Cd2 In1 Fe1 Tc1'
_symmetry_space_group_name_H-M 'P 4/m m m'
_symmetry_Int_Tables_number 123
_symmetry_space_group_name_Hall '-P 4 2'
_cell_length_a 5.0511
_cell_length_b 5.0511
_cell_length_c 4.3711
_cell_angle_alpha 90.00
_cell_angle_beta 90.00
_cell_angle_gamma 90.00
loop_
_atom_site_label
_atom_site_type_symbol
_atom_site_fract_x
_atom_site_fract_y
_atom_site_fract_z
Cd1 Cd 0.0000 0.5000 0.0000
In1 In 0.0000 0.0000 0.5000
Fe1 Fe 0.5000 0.5000 0.0000
Tc1 Tc 0.5000 0.5000 0.5000
```

Output
Calculated formation energy (kcal/mol of atoms): 17.88

2.
Here is crystalline ZrPt at its relaxed geometry from the Alexandria database. Energies are from GGA-PBE.

The structure in CIF format:
```
data_ZrPt
_chemical_formula_sum 'Zr6 Pt6'
_symmetry_space_group_name_H-M 'C 1 m 1'
_symmetry_Int_Tables_number 8
_cell_length_a 9.8977
_cell_length_b 3.5651
_cell_length_c 6.9720
_cell_angle_alpha 90.00
_cell_angle_beta 106.09
_cell_angle_gamma 90.00
loop_
_symmetry_equiv_pos_as_xyz
'x,y,z'
'x,-y,z'
'x+1/2,y+1/2,z'
'x+1/2,-y+1/2,z'
loop_
_atom_site_label
_atom_site_type_symbol
_atom_site_fract_x
_atom_site_fract_y
_atom_site_fract_z
Zr1 Zr 0.0000 0.0000 0.0000
Zr2 Zr 0.0851 0.0000 0.5811
Zr3 Zr 0.3387 0.0000 0.2733
Pt1 Pt 0.1342 0.5000 0.3038
Pt2 Pt 0.2074 0.5000 0.9249
Pt3 Pt 0.3822 0.0000 0.6976
```

Output
Calculated formation energy (kcal/mol of atoms): -19.92

3.
Here is crystalline Pm3Pr2Dy6In at its relaxed geometry from the Alexandria database. Energies are from GGA-PBE.

The structure in CIF format:
```
data_Pm3Pr2Dy6In
_chemical_formula_sum 'Pm6 Pr4 Dy12 In2'
_symmetry_space_group_name_H-M 'C 1 2/m 1'
_symmetry_Int_Tables_number 12
_cell_length_a 6.1564
_cell_length_b 10.6663
_cell_length_c 11.8228
_cell_angle_alpha 90.00
_cell_angle_beta 100.04
_cell_angle_gamma 90.00
loop_
_symmetry_equiv_pos_as_xyz
'x,y,z'
'-x,-y,-z'
'-x,y,-z'
'x,-y,z'
'x+1/2,y+1/2,z'
'-x+1/2,-y+1/2,-z'
'-x+1/2,y+1/2,-z'
'x+1/2,-y+1/2,z'
loop_
_atom_site_label
_atom_site_type_symbol
_atom_site_fract_x
_atom_site_fract_y
_atom_site_fract_z
Pm1 Pm 0.0000 0.0000 0.0000
Pm2 Pm 0.0000 0.3326 0.0000
Pr1 Pr 0.0000 0.1664 0.5000
Dy1 Dy 0.2442 0.5000 0.2516
Dy2 Dy 0.2452 0.3367 0.7475
In1 In 0.0000 0.5000 0.5000
```

Output
Calculated formation energy (kcal/mol of atoms): -1.33

4.
Here is crystalline FeCu2PPb at its relaxed geometry from the Alexandria database. Energies are from GGA-PBE.

The structure in CIF format:
```
data_FeCu2PPb
_chemical_formula_sum 'Fe1 Cu2 P1 Pb1'
_symmetry_space_group_name_H-M 'P 4/m m m'
_symmetry_Int_Tables_number 123
_symmetry_space_group_name_Hall '-P 4 2'
_cell_length_a 4.8224
_cell_length_b 4.8224
_cell_length_c 5.3816
_cell_angle_alpha 90.00
_cell_angle_beta 90.00
_cell_angle_gamma 90.00
loop_
_atom_site_label
_atom_site_type_symbol
_atom_site_fract_x
_atom_site_fract_y
_atom_site_fract_z
Fe1 Fe 0.0000 0.0000 0.0000
Cu1 Cu 0.0000 0.5000 0.5000
P1 P 0.5000 0.5000 0.0000
Pb1 Pb 0.5000 0.5000 0.5000
```

Output
Calculated formation energy (kcal/mol of atoms): 35.63

5.
Here is crystalline MnCrPb2 at its relaxed geometry from the Alexandria database. Energies are from GGA-PBE.

The structure in CIF format:
```
data_MnCrPb2
_chemical_formula_sum 'Mn2 Cr2 Pb4'
_symmetry_space_group_name_H-M 'C m m m'
_symmetry_Int_Tables_number 65
_symmetry_space_group_name_Hall '-C 2 2'
_cell_length_a 6.7713
_cell_length_b 8.0136
_cell_length_c 3.3104
_cell_angle_alpha 90.00
_cell_angle_beta 90.00
_cell_angle_gamma 90.00
loop_
_atom_site_label
_atom_site_type_symbol
_atom_site_fract_x
_atom_site_fract_y
_atom_site_fract_z
Mn1 Mn 0.0000 0.0000 0.0000
Cr1 Cr 0.0000 0.5000 0.0000
Pb1 Pb 0.2500 0.2500 0.5000
```

Output
Calculated formation energy (kcal/mol of atoms): 13.16
Energy above the lowest structure with this stoichiometry (meV/atom): 255

6.
Here is crystalline NdBeSi2Ni4 at its relaxed geometry from the Alexandria database. Energies are from GGA-PBE.

The structure in CIF format:
```
data_NdBeSi2Ni4
_chemical_formula_sum 'Nd3 Be3 Si6 Ni12'
_symmetry_space_group_name_H-M 'R -3 m'
_symmetry_Int_Tables_number 166
_symmetry_space_group_name_Hall '-R 3 2"'
_cell_length_a 3.8947
_cell_length_b 3.8947
_cell_length_c 24.6395
_cell_angle_alpha 90.00
_cell_angle_beta 90.00
_cell_angle_gamma 120.00
loop_
_atom_site_label
_atom_site_type_symbol
_atom_site_fract_x
_atom_site_fract_y
_atom_site_fract_z
Nd1 Nd 0.0000 0.0000 0.0000
Be1 Be 0.0000 0.0000 0.5000
Si1 Si 0.0000 0.0000 0.2357
Ni1 Ni 0.0000 0.0000 0.1376
Ni2 Ni 0.0000 0.0000 0.4133
```

Output
Uncorrected energy (eV/atom): -5.8994

7.
Here is crystalline HfPd6Pb at its relaxed geometry from the Alexandria database. Energies are from GGA-PBE.

The structure in CIF format:
```
data_HfPd6Pb
_chemical_formula_sum 'Hf1 Pd6 Pb1'
_symmetry_space_group_name_H-M 'P 4/m m m'
_symmetry_Int_Tables_number 123
_symmetry_space_group_name_Hall '-P 4 2'
_cell_length_a 4.0575
_cell_length_b 4.0575
_cell_length_c 8.1428
_cell_angle_alpha 90.00
_cell_angle_beta 90.00
_cell_angle_gamma 90.00
loop_
_atom_site_label
_atom_site_type_symbol
_atom_site_fract_x
_atom_site_fract_y
_atom_site_fract_z
Hf1 Hf 0.0000 0.0000 0.0000
Pd1 Pd 0.0000 0.5000 0.2386
Pd2 Pd 0.5000 0.5000 0.0000
Pd3 Pd 0.5000 0.5000 0.5000
Pb1 Pb 0.0000 0.0000 0.5000
```

Output
Calculated formation energy (kcal/mol of atoms): -13.68

8.
Here is crystalline KY2Mg at its relaxed geometry from the Alexandria database. Energies are from GGA-PBE.

The structure in CIF format:
```
data_KY2Mg
_chemical_formula_sum 'K2 Y4 Mg2'
_symmetry_space_group_name_H-M 'I -4 m 2'
_symmetry_Int_Tables_number 119
_symmetry_space_group_name_Hall 'I -4 -2'
_cell_length_a 5.1586
_cell_length_b 5.1586
_cell_length_c 10.2937
_cell_angle_alpha 90.00
_cell_angle_beta 90.00
_cell_angle_gamma 90.00
loop_
_atom_site_label
_atom_site_type_symbol
_atom_site_fract_x
_atom_site_fract_y
_atom_site_fract_z
K1 K 0.0000 0.0000 0.0000
Y1 Y 0.0000 0.0000 0.5000
Y2 Y 0.0000 0.5000 0.2500
Mg1 Mg 0.0000 0.5000 0.7500
```

Output
Calculated formation energy (kcal/mol of atoms): 10.77